1.
The following is a DFT calculation (PBE) of a relaxed Li2CoPd crystal.

Unit cell a=6.6845 b=6.6845 c=5.3407 alpha=51.26 beta=51.26 gamma=90.00
Closest atoms and distances in Å follow each position.
Sites, in units of the cell vectors:
1 Pd 0.7500 0.2500 0.5000  4 Li 2.46, 2 Co 2.49
2 Pd 0.0000 0.0000 0.0000  4 Li 2.46, 2 Co 2.49
3 Li 0.1288 0.6250 0.2500  2 Co 2.43, 2 Pd 2.46, 2 Li 2.49
4 Li 0.6212 0.1250 0.2500  2 Co 2.43, 2 Pd 2.46, 2 Li 2.49
5 Li 0.3750 0.3788 0.7500  2 Co 2.43, 2 Pd 2.46, 2 Li 2.49
6 Li 0.8750 0.8712 0.7500  2 Co 2.43, 2 Pd 2.46, 2 Li 2.49
7 Co 0.2500 0.7500 0.5000  4 Li 2.43, 2 Pd 2.49
8 Co 0.5000 0.5000 0.0000  4 Li 2.43, 2 Pd 2.49

Output
Density of states at the Fermi level   0.708 states/eV/atom
Energy relative to the elements   0.2258 eV per atom
Total magnetization   3.66 μB/cell
ΔE to the lowest computed polymorph   207 meV/atom

***

2.
The following is a DFT calculation (PBE) of a relaxed TlInPd2 crystal.

Unit cell a=3.8078 b=3.8078 c=7.1231 alpha=74.50 beta=74.50 gamma=60.00
Closest atoms and distances in Å follow each position.
Sites, in units of the cell vectors:
1 Pd 0.2540 0.2540 0.2380  3 In 2.74, 3 Tl 2.84
2 Pd 0.0794 0.0794 0.7618  3 In 2.72, 3 Tl 2.81
3 Tl 0.4989 0.4989 0.5033  6 Pd 2.81-2.84
4 In 0.6677 0.6677 0.9970  6 Pd 2.72-2.74

Output
Density of states at the Fermi level   0.281 states/eV/atom
Energy relative to the elements   -0.1683 eV per atom
Total magnetization   0.00 μB/cell

***

3.
The following is a DFT calculation (PBE) of a relaxed Tb2Dy2Bi5 crystal.

Unit cell a=8.4687 b=8.9937 c=8.9936 alpha=125.61 beta=90.00 gamma=90.00
Closest atoms and distances in Å follow each position.
Sites, in units of the cell vectors:
1 Tb 0.5000 0.3080 0.6920  7 Bi 3.07-3.31
2 Tb 0.0000 0.1920 0.8080  7 Bi 3.07-3.31
3 Tb 0.5000 0.6920 0.3080  7 Bi 3.07-3.31
4 Tb 0.0000 0.8080 0.1920  7 Bi 3.07-3.31
5 Dy 0.3411 0.1545 0.1545  8 Bi 3.14-3.46
6 Dy 0.1589 0.6545 0.6545  8 Bi 3.14-3.46
7 Dy 0.6589 0.8455 0.8455  8 Bi 3.14-3.46
8 Dy 0.8411 0.3455 0.3455  8 Bi 3.14-3.46
9 Bi 0.1513 0.4892 0.2069  3 Dy 3.20-3.46, 3 Tb 3.21-3.31, 1 Bi 3.58
10 Bi 0.6513 0.2931 0.0108  3 Dy 3.20-3.46, 3 Tb 3.21-3.31, 1 Bi 3.58
11 Bi 0.5000 0.5000 0.5000  2 Tb 3.07, 4 Dy 3.14-3.16
12 Bi 0.0000 0.0000 0.0000  2 Tb 3.07, 4 Dy 3.14-3.16
13 Bi 0.8487 0.5108 0.7931  3 Dy 3.20-3.46, 3 Tb 3.21-3.31, 1 Bi 3.58
14 Bi 0.3487 0.9892 0.7069  3 Dy 3.20-3.46, 3 Tb 3.21-3.31, 1 Bi 3.58
15 Bi 0.8487 0.7931 0.5108  3 Dy 3.20-3.46, 3 Tb 3.21-3.31, 1 Bi 3.58
16 Bi 0.1513 0.2069 0.4892  3 Dy 3.20-3.46, 3 Tb 3.21-3.31, 1 Bi 3.58
17 Bi 0.6513 0.0108 0.2931  3 Dy 3.20-3.46, 3 Tb 3.21-3.31, 1 Bi 3.58
18 Bi 0.3487 0.7069 0.9892  3 Dy 3.20-3.46, 3 Tb 3.21-3.31, 1 Bi 3.58

Output
Density of states at the Fermi level   0.569 states/eV/atom
Energy relative to the elements   -0.6457 eV per atom
Total magnetization   0.00 μB/cell

***

4.
The following is a DFT calculation (PBE) of a relaxed BaBi2B crystal.

Unit cell a=7.9358 b=7.9358 c=6.8412 alpha=54.55 beta=54.55 gamma=90.00
Closest atoms and distances in Å follow each position.
Sites, in units of the cell vectors:
1 Ba 0.7500 0.2500 0.5000  8 Bi 3.62-3.71, 2 B 3.91
2 Ba 0.0000 0.0000 0.0000  8 Bi 3.62-3.71, 2 B 3.91
3 Bi 0.3750 0.4863 0.7500  2 B 2.47
4 Bi 0.8750 0.7637 0.7500  2 B 2.47
5 Bi 0.2363 0.6250 0.2500  2 B 2.47
6 Bi 0.5137 0.1250 0.2500  2 B 2.47
7 B 0.5000 0.5000 0.0000  4 Bi 2.47
8 B 0.2500 0.7500 0.5000  4 Bi 2.47

Output
Density of states at the Fermi level   0.401 states/eV/atom
Energy relative to the elements   0.1038 eV per atom
Total magnetization   0.00 μB/cell

***

5.
The following is a DFT calculation (PBE) of a relaxed Pa2BiPd2 crystal.

Unit cell a=3.9023 b=7.6958 c=7.6958 alpha=90.00 beta=90.00 gamma=90.00
Closest atoms and distances in Å follow each position.
Sites, in units of the cell vectors:
1 Pd 0.5000 0.3722 0.3722  1 Pd 2.78, 6 Pa 2.93-3.04, 2 Bi 3.03
2 Pd 0.5000 0.8722 0.1278  1 Pd 2.78, 6 Pa 2.93-3.04, 2 Bi 3.03
3 Pd 0.5000 0.1278 0.8722  1 Pd 2.78, 6 Pa 2.93-3.04, 2 Bi 3.03
4 Pd 0.5000 0.6278 0.6278  1 Pd 2.78, 6 Pa 2.93-3.04, 2 Bi 3.03
5 Pa 0.0000 0.3282 0.6718  6 Pd 2.93-3.04
6 Pa 0.0000 0.6718 0.3282  6 Pd 2.93-3.04
7 Pa 0.0000 0.8282 0.8282  6 Pd 2.93-3.04
8 Pa 0.0000 0.1718 0.1718  6 Pd 2.93-3.04
9 Bi 0.5000 0.5000 0.0000  4 Pd 3.03
10 Bi 0.5000 0.0000 0.5000  4 Pd 3.03

Output
Density of states at the Fermi level   1.225 states/eV/atom
Energy relative to the elements   -0.4564 eV per atom
Total magnetization   0.38 μB/cell
ΔE to the lowest computed polymorph   0 meV/atom

***

6.
The following is a DFT calculation (PBE) of a relaxed LiNi22B6 crystal.

Unit cell a=7.3788 b=7.3788 c=7.3788 alpha=60.00 beta=60.00 gamma=60.00
Closest atoms and distances in Å follow each position.
Sites, in units of the cell vectors:
1 Ni 0.6183 0.6183 0.6183  3 B 2.09
2 Ni 0.3388 0.0000 0.0000  2 B 2.06
3 Ni 0.3388 0.6612 0.0000  2 B 2.06
4 Ni 0.6612 0.0000 0.3388  2 B 2.06
5 Ni 0.3817 0.3817 0.3817  3 B 2.09
6 Ni 0.3817 0.8550 0.3817  3 B 2.09
7 Ni 0.3388 0.0000 0.6612  2 B 2.06
8 Ni 0.6612 0.3388 0.0000  2 B 2.06
9 Ni 0.0000 0.6612 0.0000  2 B 2.06
10 Ni 0.1450 0.6183 0.6183  3 B 2.09
11 Ni 0.2500 0.2500 0.2500  4 Ni 2.38
12 Ni 0.6183 0.1450 0.6183  3 B 2.09
13 Ni 0.0000 0.0000 0.6612  2 B 2.06
14 Ni 0.0000 0.3388 0.6612  2 B 2.06
15 Ni 0.7500 0.7500 0.7500  4 Ni 2.38
16 Ni 0.6183 0.6183 0.1450  3 B 2.09
17 Ni 0.0000 0.6612 0.3388  2 B 2.06
18 Ni 0.6612 0.0000 0.0000  2 B 2.06
19 Ni 0.0000 0.3388 0.0000  2 B 2.06
20 Ni 0.3817 0.3817 0.8550  3 B 2.09
21 Ni 0.8550 0.3817 0.3817  3 B 2.09
22 Ni 0.0000 0.0000 0.3388  2 B 2.06
23 B 0.7289 0.2711 0.7289  8 Ni 2.06-2.09
24 B 0.7289 0.7289 0.2711  8 Ni 2.06-2.09
25 B 0.2711 0.7289 0.7289  8 Ni 2.06-2.09
26 B 0.2711 0.2711 0.7289  8 Ni 2.06-2.09
27 B 0.7289 0.2711 0.2711  8 Ni 2.06-2.09
28 B 0.2711 0.7289 0.2711  8 Ni 2.06-2.09
29 Li 0.0000 0.0000 0.0000  12 Ni 2.50

Output
Density of states at the Fermi level   1.500 states/eV/atom
Energy relative to the elements   -0.2071 eV per atom
Total magnetization   2.07 μB/cell

***

7.
The following is a DFT calculation (PBE) of a relaxed ThZr2H8 crystal.

Unit cell a=3.3072 b=5.8076 c=6.0599 alpha=118.63 beta=105.84 gamma=90.00
Closest atoms and distances in Å follow each position.
Sites, in units of the cell vectors:
1 Th 0.5000 0.0000 0.0000  12 H 2.31-2.41
2 H 0.0000 0.2945 0.0000  2 Zr 2.13, 4 H 2.36, 2 Th 2.38
3 H 0.8273 0.8273 0.6545  6 H 2.09-2.29, 2 Zr 2.26
4 H 0.0000 0.7055 0.0000  2 Zr 2.13, 4 H 2.36, 2 Th 2.38
5 H 0.6664 0.8929 0.3327  3 H 2.09-2.29, 3 Zr 2.11-2.26, 1 Th 2.31
6 H 0.3336 0.5602 0.6673  3 H 2.09-2.29, 3 Zr 2.11-2.26, 1 Th 2.31
7 H 0.3336 0.1071 0.6673  3 H 2.09-2.29, 3 Zr 2.11-2.26, 1 Th 2.31
8 H 0.1727 0.1727 0.3455  6 H 2.09-2.29, 2 Zr 2.26
9 H 0.6664 0.4398 0.3327  3 H 2.09-2.29, 3 Zr 2.11-2.26, 1 Th 2.31
10 Zr 0.1743 0.6743 0.3486  10 H 2.11-2.26
11 Zr 0.8257 0.3257 0.6514  10 H 2.11-2.26

Output
Density of states at the Fermi level   0.411 states/eV/atom
Total energy   -5.037 eV per atom
Total magnetization   0.00 μB/cell

***

8.
The following is a DFT calculation (PBE) of a relaxed NaTmCd4 crystal.

Unit cell a=3.4891 b=5.5871 c=8.1822 alpha=97.48 beta=77.69 gamma=71.81
Closest atoms and distances in Å follow each position.
Sites, in units of the cell vectors:
1 Tm 0.5000 0.5000 0.5000  10 Cd 3.20-3.21, 2 Tm 3.49
2 Cd 0.3320 0.0004 0.3355  7 Cd 3.16-3.49, 2 Na 3.20, 3 Tm 3.20-3.21
3 Cd 0.8372 0.4911 0.8345  7 Cd 3.15-3.49, 3 Na 3.16-3.25, 2 Tm 3.20
4 Cd 0.6680 0.9996 0.6645  7 Cd 3.16-3.49, 2 Na 3.20, 3 Tm 3.20-3.21
5 Cd 0.1628 0.5089 0.1655  7 Cd 3.15-3.49, 3 Na 3.16-3.25, 2 Tm 3.20
6 Na 0.0000 0.0000 0.0000  10 Cd 3.16-3.25, 2 Na 3.49

Output
Density of states at the Fermi level   0.329 states/eV/atom
Energy relative to the elements   -0.1400 eV per atom
Total magnetization   0.00 μB/cell
ΔE to the lowest computed polymorph   0 meV/atom

***

Question: What is the formula in the fifth record?
Answer: Pa2BiPd2